MgSc2In | SCAN | single point on PBEsol structure

Results
Energy of formation (eV per atom): -0.396
Relative energy among the computed polymorphs (meV/atom): 0.0

Lattice parameters (Å, degrees): 4.564 4.564 4.184 90.00 90.00 90.00
Element x y z (fractional)
Mg 0.000 0.000 0.000
Sc 0.000 0.500 0.500
Sc 0.500 0.000 0.500
In 0.500 0.500 0.000

=====

TcW2Cl | SCAN | single point on PBEsol structure

Results
Relative energy among the computed polymorphs (meV/atom): 187.0

Lattice parameters (Å, degrees): 2.822 4.136 5.376 90.00 105.34 90.00
Element x y z (fractional)
Tc 0.000 0.000 0.000
W 0.444 0.500 0.757
W 0.556 0.500 0.243
Cl 0.500 0.000 0.500

=====

TlSiSN2 | SCAN | single point on PBEsol structure

Results
Relative energy among the computed polymorphs (meV/atom): 0.0

Lattice parameters (Å, degrees): 3.710 3.710 5.510 90.00 90.00 90.00
Element x y z (fractional)
Tl 0.000 0.000 0.000
Si 0.500 0.500 0.000
S 0.000 0.000 0.500
N 0.000 0.500 0.500
N 0.500 0.000 0.500

=====

ScAg3Pt | SCAN | single point on PBEsol structure

Results
Energy of formation (eV per atom): 1.421

Lattice parameters (Å, degrees): 4.784 4.784 4.784 90.00 90.00 90.00
Element x y z (fractional)
Sc 0.000 0.000 0.000
Ag 0.000 0.000 0.500
Ag 0.000 0.500 0.000
Ag 0.500 0.000 0.000
Pt 0.500 0.500 0.500

=====

AlCrFe | SCAN | single point on PBEsol structure

Results
Energy of formation (eV per atom): -0.118

Lattice parameters (Å, degrees): 4.907 4.907 4.907 147.43 147.43 46.73
Element x y z (fractional)
Al 0.000 0.000 0.000
Cr 0.683 0.683 0.000
Fe 0.331 0.331 0.000

=====

Tl2SCl | SCAN | single point on PBEsol structure

Results
Energy (eV per atom): -41.035

Lattice parameters (Å, degrees): 5.107 5.107 5.107 60.00 60.00 60.00
Element x y z (fractional)
Tl 0.250 0.250 0.250
Tl 0.750 0.750 0.750
S 0.000 0.000 0.000
Cl 0.500 0.500 0.500